Entry 1:
Compound: BaPd2Au
Source: Alexandria
Functional: GGA-PBEsol
Structure: relaxed

a = 4.8756 Å, b = 4.8756 Å, c = 4.8756 Å
α = 60.00°, β = 60.00°, γ = 60.00°
Positions (direct):
Au: 0.5000 0.5000 0.5000
Ba: 0.0000 0.0000 0.0000
Pd: 0.2500 0.2500 0.2500
Pd: 0.7500 0.7500 0.7500

Properties
Formation enthalpy at 0 K in kcal/mol of atoms: -4.1

Entry 2:
Compound: Ba2PtAu
Source: Alexandria
Functional: GGA-PBEsol
Structure: relaxed

a = 4.6878 Å, b = 11.8031 Å, c = 13.1939 Å
α = 90.00°, β = 90.00°, γ = 90.00°
Positions (direct):
Ba: 0.0000 0.8664 0.5790
Ba: 0.5000 0.6438 0.4132
Ba: 0.0000 0.3664 0.4210
Ba: 0.0000 0.8578 0.2540
Ba: 0.5000 0.1352 0.2453
Ba: 0.5000 0.6367 0.0833
Ba: 0.0000 0.3588 0.0842
Ba: 0.0000 0.8588 0.9158
Ba: 0.5000 0.1367 0.9167
Ba: 0.5000 0.6352 0.7547
Ba: 0.0000 0.3578 0.7460
Ba: 0.5000 0.1438 0.5868
Pt: 0.5000 0.4291 0.5840
Pt: 0.5000 0.9291 0.4160
Pt: 0.0000 0.5732 0.2518
Pt: 0.0000 0.0714 0.0840
Pt: 0.0000 0.5714 0.9160
Pt: 0.0000 0.0732 0.7482
Au: 0.0000 0.0764 0.4158
Au: 0.5000 0.4269 0.2501
Au: 0.5000 0.9245 0.0822
Au: 0.5000 0.4245 0.9178
Au: 0.5000 0.9269 0.7499
Au: 0.0000 0.5764 0.5842

Properties
Formation enthalpy at 0 K in kcal/mol of atoms: -15.0

Entry 3:
Compound: BaPtAu2
Source: Alexandria
Functional: GGA-PBEsol
Structure: relaxed

a = 4.6267 Å, b = 4.6267 Å, c = 5.9957 Å
α = 67.30°, β = 67.30°, γ = 60.00°
Positions (direct):
Au: 0.8043 0.8043 0.5871
Au: 0.1957 0.1957 0.4129
Ba: 0.0000 0.0000 0.0000
Pt: 0.5000 0.5000 0.5000

Properties
Distance to the lowest polymorph of the same formula in meV per atom: 12
Formation enthalpy at 0 K in kcal/mol of atoms: -10.3

Entry 4:
Compound: Ba2PtAu
Source: Alexandria
Functional: GGA-PBEsol
Structure: relaxed

a = 3.8797 Å, b = 5.4222 Å, c = 5.4239 Å
α = 90.00°, β = 90.00°, γ = 90.00°
Positions (direct):
Au: 0.5000 0.8750 0.5000
Ba: 0.0000 0.8749 0.0000
Ba: 0.0000 0.3750 0.5000
Pt: 0.5000 0.3751 0.0000

Properties
Formation enthalpy at 0 K in kcal/mol of atoms: -13.8

Entry 5:
Compound: BaPtAu2
Source: Alexandria
Functional: GGA-PBEsol
Structure: relaxed

a = 4.3519 Å, b = 4.6150 Å, c = 5.2559 Å
α = 90.00°, β = 89.89°, γ = 90.00°
Positions (direct):
Au: 0.0006 0.0000 0.7524
Au: 0.9994 0.0000 0.2476
Ba: 0.5000 0.5000 0.0000
Pt: 0.0000 0.5000 0.5000

Properties
Distance to the lowest polymorph of the same formula in meV per atom: 113
Formation enthalpy at 0 K in kcal/mol of atoms: -8.0

Entry 6:
Compound: Ba2PtAu
Source: Alexandria
Functional: GGA-PBEsol
Structure: relaxed

a = 4.5287 Å, b = 4.5287 Å, c = 7.9648 Å
α = 73.48°, β = 73.48°, γ = 60.00°
Positions (direct):
Au: 0.0000 0.0000 0.0000
Ba: 0.7565 0.7565 0.7306
Ba: 0.2435 0.2435 0.2694
Pt: 0.5000 0.5000 0.5000

Properties
Formation enthalpy at 0 K in kcal/mol of atoms: -13.0

Entry 7:
Compound: Ba2PtAu
Source: Alexandria
Functional: GGA-PBEsol
Structure: relaxed

a = 4.4110 Å, b = 4.6903 Å, c = 6.2793 Å
α = 90.00°, β = 110.56°, γ = 90.00°
Positions (direct):
Au: 0.3032 0.0000 0.6063
Ba: 0.0134 0.0000 0.0269
Ba: 0.7351 0.5000 0.4703
Pt: 0.4483 0.5000 0.8966

Properties
Formation enthalpy at 0 K in kcal/mol of atoms: -14.9

Entry 8:
Compound: BaPtAu2
Source: Alexandria
Functional: GGA-PBEsol
Structure: relaxed

a = 4.6489 Å, b = 4.6489 Å, c = 6.0061 Å
α = 67.23°, β = 67.23°, γ = 60.00°
Positions (direct):
Au: 0.0093 0.0093 0.9720
Au: 0.3085 0.3085 0.0746
Ba: 0.5007 0.5007 0.4979
Pt: 0.6913 0.6913 0.9260

Properties
Distance to the lowest polymorph of the same formula in meV per atom: 0
Formation enthalpy at 0 K in kcal/mol of atoms: -10.6

Entry 9:
Compound: BaPtAu2
Source: Alexandria
Functional: GGA-PBEsol
Structure: relaxed

a = 3.9424 Å, b = 4.8033 Å, c = 5.5447 Å
α = 115.67°, β = 110.82°, γ = 90.00°
Positions (direct):
Au: 0.0075 0.0075 0.0150
Au: 0.2701 0.7701 0.5401
Ba: 0.4959 0.4959 0.9918
Pt: 0.7265 0.2265 0.4531

Properties
Distance to the lowest polymorph of the same formula in meV per atom: 326
Formation enthalpy at 0 K in kcal/mol of atoms: -3.1

Entry 10:
Compound: RbBa2YAu
Source: Alexandria
Functional: GGA-PBEsol
Structure: relaxed

a = 5.4030 Å, b = 6.0234 Å, c = 6.0234 Å
α = 90.00°, β = 90.00°, γ = 90.00°
Positions (direct):
Y: 0.5000 0.0000 0.0000
Au: 0.5000 0.5000 0.5000
Ba: 0.0000 0.0000 0.5000
Ba: 0.0000 0.5000 0.0000
Rb: 0.0000 0.0000 0.0000

Properties
Formation enthalpy at 0 K in kcal/mol of atoms: 24.8

Entry 11:
Compound: Ba4ReAu
Source: Alexandria
Functional: GGA-PBEsol
Structure: relaxed

a = 6.6018 Å, b = 6.6018 Å, c = 6.6018 Å
α = 60.00°, β = 60.00°, γ = 60.00°
Each line ends with the local moment (μB).
Positions (direct):
Au: 0.0000 0.0000 0.0000  0.00
Ba: 0.3751 0.3751 0.3751  0.12
Ba: 0.3751 0.3751 0.8747  0.12
Ba: 0.8747 0.3751 0.3751  0.12
Ba: 0.3751 0.8747 0.3751  0.12
Re: 0.7500 0.7500 0.7500  -2.23

Properties
Formation enthalpy at 0 K in kcal/mol of atoms: 29.8

Entry 12:
Compound: Ba2ReAu
Source: Alexandria
Functional: GGA-PBEsol
Structure: relaxed

a = 3.1113 Å, b = 5.7773 Å, c = 6.1871 Å
α = 90.00°, β = 90.00°, γ = 90.00°
Positions (direct):
Re: 0.0000 0.0000 0.3765
Au: 0.5000 0.5000 0.8735
Ba: 0.0000 0.0000 0.8764
Ba: 0.5000 0.5000 0.3736

Properties
Distance to the lowest polymorph of the same formula in meV per atom: 247
Formation enthalpy at 0 K in kcal/mol of atoms: 19.1

Entry 13:
Compound: Ba2ReAu
Source: Alexandria
Functional: GGA-PBEsol
Structure: relaxed

a = 4.4862 Å, b = 5.2630 Å, c = 6.2603 Å
α = 114.86°, β = 111.00°, γ = 90.00°
Each line ends with the local moment (μB).
Positions (direct):
Re: 0.5838 0.5838 0.1676  0.62
Au: 0.1832 0.6832 0.3664  0.05
Ba: 0.9714 0.9714 0.9428  -0.01
Ba: 0.7616 0.2616 0.5231  -0.01

Properties
Distance to the lowest polymorph of the same formula in meV per atom: 0
Formation enthalpy at 0 K in kcal/mol of atoms: 13.4

Entry 14:
Compound: BaRh2Au
Source: Alexandria
Functional: GGA-PBEsol
Structure: relaxed

a = 3.0463 Å, b = 4.6146 Å, c = 5.8820 Å
α = 90.00°, β = 98.90°, γ = 90.00°
Positions (direct):
Au: 0.5000 0.5000 0.0000
Ba: 0.0000 0.5000 0.5000
Rh: 0.7033 0.0000 0.8194
Rh: 0.2967 0.0000 0.1806

Properties
Formation enthalpy at 0 K in kcal/mol of atoms: 6.8

Entry 15:
Compound: BaRh2Au
Source: Alexandria
Functional: GGA-PBEsol
Structure: relaxed

a = 4.2711 Å, b = 4.2711 Å, c = 5.2127 Å
α = 114.19°, β = 114.19°, γ = 90.00°
Each line ends with the local moment (μB).
Positions (direct):
Au: 0.5000 0.5000 0.0000  0.04
Ba: 0.2500 0.7500 0.5000  -0.02
Rh: 0.0000 0.0000 0.0000  0.50
Rh: 0.7500 0.2500 0.5000  0.46

Properties
Formation enthalpy at 0 K in kcal/mol of atoms: 8.9

Entry 16:
Compound: BaRuAu4
Source: Alexandria
Functional: GGA-PBEsol
Structure: relaxed

a = 5.5590 Å, b = 5.5590 Å, c = 5.5590 Å
α = 60.00°, β = 60.00°, γ = 60.00°
Each line ends with the local moment (μB).
Positions (direct):
Au: 0.3741 0.3741 0.3741  -0.01
Au: 0.3741 0.3741 0.8777  -0.01
Au: 0.8777 0.3741 0.3741  -0.01
Au: 0.3741 0.8777 0.3741  -0.01
Ba: 0.7500 0.7500 0.7500  0.00
Ru: 0.0000 0.0000 0.0000  1.75

Properties
Formation enthalpy at 0 K in kcal/mol of atoms: 5.1

Entry 17:
Compound: Ba2RuAu
Source: Alexandria
Functional: GGA-PBEsol
Structure: relaxed

a = 4.5917 Å, b = 4.5917 Å, c = 5.9546 Å
α = 112.68°, β = 112.68°, γ = 90.00°
Each line ends with the local moment (μB).
Positions (direct):
Au: 0.2500 0.7500 0.5000  0.00
Ba: 0.0000 0.0000 0.0000  -0.03
Ba: 0.7500 0.2500 0.5000  -0.02
Ru: 0.5000 0.5000 0.0000  0.75

Properties
Formation enthalpy at 0 K in kcal/mol of atoms: 8.6

Entry 18:
Compound: Ba2RuAu
Source: Alexandria
Functional: GGA-PBEsol
Structure: relaxed

a = 3.6955 Å, b = 3.6955 Å, c = 9.0385 Å
α = 90.00°, β = 90.00°, γ = 90.00°
Positions (direct):
Au: 0.5000 0.5000 0.6717
Ba: 0.0000 0.0000 0.9016
Ba: 0.5000 0.5000 0.3396
Ru: 0.0000 0.0000 0.5871

Properties
Formation enthalpy at 0 K in kcal/mol of atoms: 6.0

Entry 19:
Compound: Ba2Au2S
Source: Alexandria
Functional: GGA-PBEsol
Structure: relaxed

a = 5.8611 Å, b = 6.3006 Å, c = 5.8611 Å
α = 62.28°, β = 90.00°, γ = 117.72°
Positions (direct):
S: 0.0000 0.0000 0.0000
Au: 0.6385 0.2769 0.3615
Au: 0.3615 0.7231 0.6385
Ba: 0.7500 0.5000 0.7500
Ba: 0.2500 0.5000 0.2500

Entry 20:
Compound: BaAuS3
Source: Alexandria
Functional: GGA-PBEsol
Structure: relaxed

a = 4.8692 Å, b = 4.8692 Å, c = 4.8692 Å
α = 90.00°, β = 90.00°, γ = 90.00°
Positions (direct):
S: 0.0000 0.5000 0.0000
S: 0.0000 0.0000 0.5000
S: 0.5000 0.0000 0.0000
Au: 0.0000 0.0000 0.0000
Ba: 0.5000 0.5000 0.5000

Number 1: final energy -0.344 Ry/atom. Number 2: final energy -0.327 Ry/atom. Number 3: final energy -0.345 Ry/atom. Number 4: final energy -0.323 Ry/atom. Number 5: final energy -0.337 Ry/atom. Number 6: final energy -0.320 Ry/atom. Number 7: final energy -0.327 Ry/atom. Number 8: final energy -0.345 Ry/atom. Number 9: final energy -0.321 Ry/atom. Number 10: final energy -0.157 Ry/atom. Number 11: final energy -0.222 Ry/atom. Number 12: final energy -0.335 Ry/atom. Number 13: final energy -0.353 Ry/atom. Number 14: final energy -0.389 Ry/atom. Number 15: final energy -0.382 Ry/atom. Number 16: final energy -0.327 Ry/atom. Number 17: final energy -0.310 Ry/atom. Number 18: final energy -0.319 Ry/atom. Number 19: final energy -0.286 Ry/atom. Number 20: final energy -0.331 Ry/atom.